(1)
Material: Ca2Al3Os
Method: DFT, PBE-GGA
State: relaxed

Geometry as CIF:
```
data_Ca2Al3Os
_symmetry_space_group_name_H-M 'C 1 2/m 1'
_symmetry_Int_Tables_number 12
_symmetry_space_group_name_Hall '-C 2y'
_cell_length_a 9.3197
_cell_length_b 5.5735
_cell_length_c 5.4296
_cell_angle_alpha 90.00
_cell_angle_beta 123.31
_cell_angle_gamma 90.00
loop_
_atom_site_label
_atom_site_type_symbol
_atom_site_fract_x
_atom_site_fract_y
_atom_site_fract_z
Ca1 Ca 0.1279 0.0000 0.3716
Al1 Al 0.0000 0.5000 0.5000
Al2 Al 0.2500 0.2500 0.0000
Os1 Os 0.0000 0.5000 0.0000
```

Properties
Energy of formation = -0.290 eV per atom

***

(2)
Material: Ta3Hg4
Method: DFT, PBE-GGA
State: relaxed

Geometry as CIF:
```
data_Ta3Hg4
_symmetry_space_group_name_H-M 'I 4/m m m'
_symmetry_Int_Tables_number 139
_symmetry_space_group_name_Hall '-I 4 2'
_cell_length_a 2.9334
_cell_length_b 2.9334
_cell_length_c 32.4352
_cell_angle_alpha 90.00
_cell_angle_beta 90.00
_cell_angle_gamma 90.00
loop_
_atom_site_label
_atom_site_type_symbol
_atom_site_fract_x
_atom_site_fract_y
_atom_site_fract_z
Ta1 Ta 0.0000 0.0000 0.0000
Ta2 Ta 0.0000 0.0000 0.2842
Hg1 Hg 0.0000 0.0000 0.1460
Hg2 Hg 0.0000 0.0000 0.4313
```

Properties
Distance to the lowest polymorph of the same formula = 0 meV per atom
Energy of formation = 0.330 eV per atom

***

(3)
Material: Mg2Ir
Method: DFT, PBE-GGA
State: relaxed

Geometry as CIF:
```
data_Mg2Ir
_symmetry_space_group_name_H-M 'P n m a'
_symmetry_Int_Tables_number 62
_symmetry_space_group_name_Hall '-P 2ac 2n'
_cell_length_a 5.5515
_cell_length_b 4.3378
_cell_length_c 8.3216
_cell_angle_alpha 90.00
_cell_angle_beta 90.00
_cell_angle_gamma 90.00
loop_
_atom_site_label
_atom_site_type_symbol
_atom_site_fract_x
_atom_site_fract_y
_atom_site_fract_z
Mg1 Mg 0.0770 0.2500 0.2123
Mg2 Mg 0.1657 0.2500 0.5590
Ir1 Ir 0.1720 0.2500 0.8858
```

Properties
Energy of formation = -0.308 eV per atom

***

(4)
Material: AcLaNd2Dy
Method: DFT, PBE-GGA
State: relaxed

Geometry as CIF:
```
data_AcLaNd2Dy
_symmetry_space_group_name_H-M 'P 1 21/m 1'
_symmetry_Int_Tables_number 11
_symmetry_space_group_name_Hall '-P 2yb'
_cell_length_a 6.5391
_cell_length_b 6.0178
_cell_length_c 9.9565
_cell_angle_alpha 90.00
_cell_angle_beta 109.09
_cell_angle_gamma 90.00
loop_
_atom_site_label
_atom_site_type_symbol
_atom_site_fract_x
_atom_site_fract_y
_atom_site_fract_z
Ac1 Ac 0.1384 0.2500 0.1057
La1 La 0.0598 0.7500 0.3126
Nd1 Nd 0.2729 0.7500 0.7028
Nd2 Nd 0.3494 0.2500 0.5088
Dy1 Dy 0.4734 0.7500 0.0988
```

Properties
Energy of formation = 0.040 eV per atom

***

(5)
Material: LiAc4Ag5
Method: DFT, PBE-GGA
State: relaxed

Geometry as CIF:
```
data_LiAc4Ag5
_symmetry_space_group_name_H-M 'P 4/m m m'
_symmetry_Int_Tables_number 123
_symmetry_space_group_name_Hall '-P 4 2'
_cell_length_a 3.8614
_cell_length_b 3.8614
_cell_length_c 19.1524
_cell_angle_alpha 90.00
_cell_angle_beta 90.00
_cell_angle_gamma 90.00
loop_
_atom_site_label
_atom_site_type_symbol
_atom_site_fract_x
_atom_site_fract_y
_atom_site_fract_z
Li1 Li 0.0000 0.0000 0.0000
Ac1 Ac 0.0000 0.0000 0.1801
Ac2 Ac 0.0000 0.0000 0.3940
Ag1 Ag 0.5000 0.5000 0.0734
Ag2 Ag 0.5000 0.5000 0.2876
Ag3 Ag 0.5000 0.5000 0.5000
```

Properties
Energy of formation = -0.205 eV per atom

***

(6)
Material: KInPb
Method: DFT, PBE-GGA
State: relaxed

Geometry as CIF:
```
data_KInPb
_symmetry_space_group_name_H-M 'P n m a'
_symmetry_Int_Tables_number 62
_symmetry_space_group_name_Hall '-P 2ac 2n'
_cell_length_a 7.4286
_cell_length_b 5.0912
_cell_length_c 10.8141
_cell_angle_alpha 90.00
_cell_angle_beta 90.00
_cell_angle_gamma 90.00
loop_
_atom_site_label
_atom_site_type_symbol
_atom_site_fract_x
_atom_site_fract_y
_atom_site_fract_z
K1 K 0.1228 0.2500 0.0878
In1 In 0.0735 0.2500 0.7191
Pb1 Pb 0.1139 0.2500 0.4271
```

Properties
Energy of formation = -0.086 eV per atom

***

(7)
Material: AcMgHg3
Method: DFT, PBE-GGA
State: relaxed

Geometry as CIF:
```
data_AcMgHg3
_symmetry_space_group_name_H-M 'P n m a'
_symmetry_Int_Tables_number 62
_symmetry_space_group_name_Hall '-P 2ac 2n'
_cell_length_a 6.3490
_cell_length_b 13.6902
_cell_length_c 6.2407
_cell_angle_alpha 90.00
_cell_angle_beta 90.00
_cell_angle_gamma 90.00
loop_
_atom_site_label
_atom_site_type_symbol
_atom_site_fract_x
_atom_site_fract_y
_atom_site_fract_z
Ac1 Ac 0.0000 0.0000 0.0000
Mg1 Mg 0.2047 0.2500 0.1978
Hg1 Hg 0.0078 0.6114 0.5117
Hg2 Hg 0.1230 0.7500 0.1429
```

Properties
Distance to the lowest polymorph of the same formula = 3 meV per atom
Energy of formation = -0.344 eV per atom

***

(8)
Material: KMn2Ir
Method: DFT, PBE-GGA
State: relaxed

Geometry as CIF:
```
data_KMn2Ir
_symmetry_space_group_name_H-M 'I m m 2'
_symmetry_Int_Tables_number 44
_symmetry_space_group_name_Hall 'I 2 -2'
_cell_length_a 2.8707
_cell_length_b 5.0549
_cell_length_c 10.5363
_cell_angle_alpha 90.00
_cell_angle_beta 90.00
_cell_angle_gamma 90.00
loop_
_atom_site_label
_atom_site_type_symbol
_atom_site_fract_x
_atom_site_fract_y
_atom_site_fract_z
K1 K 0.0000 0.0000 0.0000
Mn1 Mn 0.0000 0.0000 0.4595
Mn2 Mn 0.0000 0.5000 0.2072
Ir1 Ir 0.0000 0.5000 0.7690
```

Properties
Distance to the lowest polymorph of the same formula = 329 meV per atom
Energy of formation = 0.822 eV per atom

***

(9)
Material: Hf3ZnCo
Method: DFT, PBE-GGA
State: relaxed

Geometry as CIF:
```
data_Hf3ZnCo
_symmetry_space_group_name_H-M 'P m -3 m'
_symmetry_Int_Tables_number 221
_symmetry_space_group_name_Hall '-P 4 2 3'
_cell_length_a 4.7502
_cell_length_b 4.7502
_cell_length_c 4.7502
_cell_angle_alpha 90.00
_cell_angle_beta 90.00
_cell_angle_gamma 90.00
loop_
_atom_site_label
_atom_site_type_symbol
_atom_site_fract_x
_atom_site_fract_y
_atom_site_fract_z
Hf1 Hf 0.0000 0.0000 0.5000
Zn1 Zn 0.5000 0.5000 0.5000
Co1 Co 0.0000 0.0000 0.0000
```

Properties
Distance to the lowest polymorph of the same formula = 419 meV per atom
Energy of formation = 0.237 eV per atom

***

(10)
Material: TaTl2Cl
Method: DFT, PBE-GGA
State: relaxed

Geometry as CIF:
```
data_TaTl2Cl
_symmetry_space_group_name_H-M 'P 4 m m'
_symmetry_Int_Tables_number 99
_symmetry_space_group_name_Hall 'P 4 -2'
_cell_length_a 3.1248
_cell_length_b 3.1248
_cell_length_c 10.0303
_cell_angle_alpha 90.00
_cell_angle_beta 90.00
_cell_angle_gamma 90.00
loop_
_atom_site_label
_atom_site_type_symbol
_atom_site_fract_x
_atom_site_fract_y
_atom_site_fract_z
Ta1 Ta 0.0000 0.0000 0.0000
Tl1 Tl 0.0000 0.0000 0.4881
Tl2 Tl 0.5000 0.5000 0.2210
Cl1 Cl 0.5000 0.5000 0.8451
```

Properties
E_form (uncorrected) = 120 meV per atom
Distance to the lowest polymorph of the same formula = 214 meV per atom

***

(11)
Material: TaBr
Method: DFT, PBE-GGA
State: relaxed

Geometry as CIF:
```
data_TaBr
_symmetry_space_group_name_H-M 'P 63/m m c'
_symmetry_Int_Tables_number 194
_symmetry_space_group_name_Hall '-P 6c 2c'
_cell_length_a 3.1099
_cell_length_b 3.1099
_cell_length_c 8.9630
_cell_angle_alpha 90.00
_cell_angle_beta 90.00
_cell_angle_gamma 120.00
loop_
_atom_site_label
_atom_site_type_symbol
_atom_site_fract_x
_atom_site_fract_y
_atom_site_fract_z
Ta1 Ta 0.3333 0.6667 0.2500
Br1 Br 0.0000 0.0000 0.0000
```

Properties
E_form (uncorrected) = 502 meV per atom

***

(12)
Material: Ce2NpPN5
Method: DFT, PBE-GGA
State: relaxed

Geometry as CIF:
```
data_Ce2NpPN5
_symmetry_space_group_name_H-M 'P 4/m b m'
_symmetry_Int_Tables_number 127
_symmetry_space_group_name_Hall '-P 4 2ab'
_cell_length_a 6.4838
_cell_length_b 6.4838
_cell_length_c 5.6169
_cell_angle_alpha 90.00
_cell_angle_beta 90.00
_cell_angle_gamma 90.00
loop_
_atom_site_label
_atom_site_type_symbol
_atom_site_fract_x
_atom_site_fract_y
_atom_site_fract_z
Ce1 Ce 0.1764 0.3236 0.0000
Np1 Np 0.0000 0.0000 0.5000
P1 P 0.0000 0.5000 0.5000
N1 N 0.0000 0.0000 0.0000
N2 N 0.1365 0.6365 0.2845
```

Properties
E_form (uncorrected) = -848 meV per atom

***

Values of uncorrected energy, in order: -56.40 -68.90 -51.90 -45.94 -34.65 -31.20 -33.32 -50.02 -37.06 -17.95 -25.04 -158.96, all in eV/cell.
Values of total magnetic moment, in order: 0.000 0.000 0.000 0.000 0.000 0.000 0.000 15.718 0.000 0.000 0.000 8.541, all in μB/cell.